Here is crystalline RbSc2TaAs at its relaxed geometry from the Alexandria database. Energies are from GGA-PBE.

Cell and atoms, written as POSCAR:
```
RbSc2TaAs
1.0
5.3001 0.0000 0.0000
0.0000 5.3001 0.0000
0.0000 0.0000 4.9603
Rb Sc Ta As
1 2 1 1
Cartesian
0.0000 0.0000 0.0000
0.0000 2.6500 2.4802
2.6500 0.0000 2.4802
2.6500 2.6500 0.0000
2.6500 2.6500 2.4802
```

Computed properties:
Its space group is P4/mmm. Its density of states at the Fermi level is 2.03 states/eV/atom. The calculation puts the formation energy at 0.53 eV/atom. The value obtained for the spin magnetization is 0.00 μB per cell.

---

Here is crystalline Rb5As2Se5 at its relaxed geometry from the Alexandria database. Energies are from GGA-PBE.

Cell and atoms, written as POSCAR:
```
Rb5As2Se5
1.0
7.2712 -2.4457 0.0000
7.2712 2.4457 0.0000
-2.9806 0.0000 12.0505
Rb As Se
5 2 5
Cartesian
0.0000 0.0000 0.0000
0.5555 0.0000 6.8953
1.4150 0.0000 10.4098
10.1468 0.0000 1.6407
11.0063 0.0000 5.1552
4.6140 0.0000 8.4879
6.9478 0.0000 3.5627
0.9472 0.0000 3.4160
5.3489 0.0000 1.6820
5.7809 0.0000 6.0253
6.2130 0.0000 10.3685
10.6147 0.0000 8.6345
```

Computed properties:
Its space group is C2/m. Its density of states at the Fermi level is 0.10 states/eV/atom. The value obtained for the spin magnetization is 0.00 μB per cell.

---

Here is crystalline Rb3AsSe3 at its relaxed geometry from the Alexandria database. Energies are from GGA-PBE.

Cell and atoms, written as POSCAR:
```
Rb3AsSe3
1.0
13.4708 0.0000 0.0000
0.0000 5.2572 0.0000
0.0000 0.0000 14.6288
Rb As Se
12 4 12
Cartesian
0.9687 1.3143 1.5101
1.8092 3.9429 7.0310
3.1044 3.9429 11.5125
3.6310 1.3143 4.1981
4.9262 1.3143 14.3453
5.7668 3.9429 8.8245
7.7041 1.3143 5.8043
8.5446 3.9429 0.2834
9.8398 3.9429 10.4307
10.3664 1.3143 3.1163
11.6617 1.3143 7.5978
12.5022 3.9429 13.1187
0.7661 1.3143 10.2622
5.9693 3.9429 2.9478
7.5015 1.3143 11.6810
12.7047 3.9429 4.3666
0.1157 1.3143 4.8063
1.2927 1.3143 12.6792
2.9385 1.3143 9.1399
3.7970 3.9429 1.8255
5.4427 3.9429 5.3648
6.6197 3.9429 12.1207
6.8511 1.3143 2.5081
8.0281 1.3143 9.2639
9.6739 1.3143 12.8032
10.5324 3.9429 5.4889
12.1782 3.9429 1.9495
13.3551 3.9429 9.8225
```

Computed properties:
Its space group is Pnma. The value obtained for the spin magnetization is 0.00 μB per cell.

---

Here is crystalline RbAsSe2 at its relaxed geometry from the Alexandria database. Energies are from GGA-PBE.

Cell and atoms, written as POSCAR:
```
RbAsSe2
1.0
4.4791 -5.3887 0.0000
4.4791 5.3887 0.0000
-3.3048 0.0000 6.1469
Rb As Se
2 2 4
Cartesian
2.0005 3.7206 4.6102
3.6529 -3.7206 1.5367
3.6529 0.6430 1.5367
2.0005 -0.6430 4.6102
0.0701 0.7823 4.9134
1.7225 -0.7823 1.8399
3.9309 0.7823 4.3070
5.5833 -0.7823 1.2336
```

Computed properties:
Its space group is C2/c. Its density of states at the Fermi level is 0.00 states/eV/atom. The value obtained for the spin magnetization is 0.00 μB per cell.

---

Here is crystalline RbAsSe at its relaxed geometry from the Alexandria database. Energies are from GGA-PBE.

Cell and atoms, written as POSCAR:
```
RbAsSe
1.0
5.1825 -3.2099 0.0000
5.1825 3.2099 0.0000
-2.8444 0.0000 6.7297
Rb As Se
2 2 2
Cartesian
0.8420 0.0000 1.8003
6.6786 0.0000 4.9295
4.1094 0.0000 0.4616
3.4112 0.0000 6.2681
-0.0766 0.0000 5.2364
7.5972 0.0000 1.4934
```

Computed properties:
Its space group is C2/m. Its density of states at the Fermi level is 0.02 states/eV/atom. The value obtained for the spin magnetization is 0.00 μB per cell.

---

Here is crystalline RbAs2Se3 at its relaxed geometry from the Alexandria database. Energies are from GGA-PBE.

Cell and atoms, written as POSCAR:
```
RbAs2Se3
1.0
5.4981 -5.4779 0.0000
5.4981 5.4779 0.0000
0.0000 0.0000 6.5347
Rb As Se
2 4 6
Cartesian
5.4981 3.4928 4.9010
5.4981 -3.4928 1.6337
3.4918 0.0000 0.0000
3.4918 0.0000 3.2673
7.5044 0.0000 0.0000
7.5044 0.0000 3.2673
2.1872 1.4449 4.9010
2.1872 -1.4449 1.6337
5.4981 0.8837 1.6337
5.4981 -0.8837 4.9010
8.8090 1.4449 4.9010
8.8090 -1.4449 1.6337
```

Computed properties:
Its space group is Cmcm. Its density of states at the Fermi level is 0.15 states/eV/atom. The value obtained for the spin magnetization is 0.00 μB per cell.

---

no.,E_tot (eV/atom)
1,-5.50
2,-3.37
3,-3.44
4,-3.77
5,-3.64
6,-3.74